[1]
## LiBP (GGA-PBE)

Data for a geometry-optimized LiBP structure.

The structure in POSCAR format:
```
LiBP
1.0
4.745 -1.585 0.000
4.745 1.585 0.000
-0.942 0.000 5.138
Li B P
2 2 2
Cartesian
1.452 0.000 1.215
7.097 0.000 3.923
4.248 0.000 0.646
4.301 0.000 4.492
0.185 0.000 3.573
8.364 0.000 1.566
```

Density of states at the Fermi level: 0.4 states/eV/cell
Distance to the lowest polymorph of the same formula: 0 meV per atom
Formation energy from the elements: -1.0 eV per formula unit

[2]
## AcDyPaO6 (GGA-PBE)

Data for a geometry-optimized AcDyPaO6 structure.

The structure in POSCAR format:
```
AcDyPaO6
1.0
5.283 0.000 0.000
0.000 5.283 0.000
0.000 0.000 11.013
Ac Dy Pa O
2 2 2 12
Cartesian
0.000 0.000 0.000
2.641 2.641 5.507
0.000 0.000 3.641
2.641 2.641 9.147
0.000 0.000 7.333
2.641 2.641 1.826
0.921 0.921 5.555
1.026 1.026 8.936
1.094 1.094 1.948
1.547 3.735 7.455
1.615 3.668 3.430
1.720 3.562 0.049
3.562 1.720 0.049
3.668 1.615 3.430
3.735 1.547 7.455
4.189 4.189 1.948
4.256 4.256 8.936
4.362 4.362 5.555
```

Uncorrected formation energy: -3248 meV/atom
Density of states at the Fermi level: 17.4 states/eV/cell

[3]
## RbZrGaAs2 (GGA-PBE)

Data for a geometry-optimized RbZrGaAs2 structure.

The structure in POSCAR format:
```
RbZrGaAs2
1.0
5.235 0.000 0.000
0.000 5.235 0.000
0.000 0.000 6.323
Rb Zr Ga As
1 1 1 2
Cartesian
0.000 0.000 0.000
0.000 0.000 3.162
2.618 2.618 0.000
0.000 2.618 3.162
2.618 0.000 3.162
```

Density of states at the Fermi level: 4.5 states/eV/cell
Formation energy from the elements: 1.7 eV per formula unit

[4]
## AcMgCdAu (GGA-PBE)

Data for a geometry-optimized AcMgCdAu structure.

The structure in POSCAR format:
```
AcMgCdAu
1.0
0.000 3.751 3.751
3.751 0.000 3.751
3.751 3.751 0.000
Ac Mg Cd Au
1 1 1 1
Cartesian
0.000 0.000 0.000
3.751 3.751 3.751
5.627 5.627 5.627
1.876 1.876 1.876
```

Density of states at the Fermi level: 2.7 states/eV/cell
Formation energy from the elements: -1.8 eV per formula unit